Below is a relaxed structure of ErSbNO, with properties calculated at the GGA-PBE level.

Cell and atoms, written as POSCAR:
```
ErSbNO
1.0
3.613 0.000 0.000
0.000 6.691 0.000
0.000 0.000 5.685
Er Sb N O
2 2 2 2
direct
0.000 0.151 0.000
0.000 0.849 0.500
0.500 0.352 0.482
0.500 0.648 0.982
0.000 0.176 0.402
0.000 0.824 0.902
0.500 0.180 0.801
0.500 0.820 0.301
```

Output
The offset from the most stable computed form is 0.93 eV/f.u. As for the magnetic moment: 0.000 μB/atom. As for the total energy: -6.726 eV per atom. As for the symmetry: No. 26.

Below is a relaxed structure of ErSbNO, with properties calculated at the GGA-PBE level.

Cell and atoms, written as POSCAR:
```
ErSbNO
1.0
3.764 0.000 0.000
0.000 6.397 0.000
0.000 0.000 6.304
Er Sb N O
2 2 2 2
direct
0.000 0.190 0.000
0.000 0.810 0.500
0.500 0.330 0.584
0.500 0.670 0.084
0.500 0.381 0.930
0.500 0.619 0.430
0.000 0.067 0.302
0.000 0.933 0.802
```

Output
The offset from the most stable computed form is 0.75 eV/f.u. As for the magnetic moment: 0.000 μB/atom. As for the total energy: -6.770 eV per atom. As for the symmetry: No. 26.

Below is a relaxed structure of ErSbNO, with properties calculated at the GGA-PBE level.

Cell and atoms, written as POSCAR:
```
ErSbNO
1.0
4.455 0.000 0.000
0.000 4.455 0.000
0.000 0.000 7.270
Er Sb N O
2 2 2 2
direct
0.250 0.250 0.105
0.750 0.750 0.895
0.250 0.750 0.500
0.750 0.250 0.500
0.250 0.250 0.408
0.750 0.750 0.592
0.250 0.750 0.000
0.750 0.250 0.000
```

Output
The offset from the most stable computed form is 1.26 eV/f.u. As for the magnetic moment: 0.002 μB/atom. As for the total energy: -6.642 eV per atom. As for the symmetry: No. 129.

Below is a relaxed structure of ErScNO, with properties calculated at the GGA-PBE level.

Cell and atoms, written as POSCAR:
```
ErScNO
1.0
7.794 0.000 0.000
0.000 6.335 0.000
0.000 0.000 4.711
Er Sc N O
4 4 4 4
direct
0.133 0.076 0.250
0.133 0.424 0.750
0.867 0.576 0.250
0.867 0.924 0.750
0.383 0.574 0.250
0.383 0.926 0.750
0.617 0.074 0.250
0.617 0.426 0.750
0.137 0.062 0.750
0.137 0.438 0.250
0.863 0.562 0.750
0.863 0.938 0.250
0.382 0.597 0.750
0.382 0.903 0.250
0.618 0.097 0.750
0.618 0.403 0.250
```

Output
The offset from the most stable computed form is 0.46 eV/f.u. As for the magnetic moment: 0.001 μB/atom. As for the total energy: -8.309 eV per atom. As for the symmetry: No. 57.